Computed, not measured: an optimized crystal structure of Mg5Pb6 at the PBE level of DFT.

a = 9.133 Å, b = 8.972 Å, c = 5.190 Å
α = 73.24°, β = 55.48°, γ = 59.40°
Positions (direct):
Mg (0.500, 0.000, 0.500)
Mg (0.337, 0.327, 0.000)
Mg (0.663, 0.673, 0.000)
Mg (0.177, 0.646, 0.500)
Mg (0.823, 0.354, 0.500)
Pb (0.770, 0.000, 0.733)
Pb (0.230, 0.000, 0.267)
Pb (0.402, 0.679, 0.759)
Pb (0.920, 0.679, 0.241)
Pb (0.598, 0.321, 0.241)
Pb (0.080, 0.321, 0.759)

Properties
For the total energy, the calculation gives -2.792 eV per atom. The space group is C2/m. The value obtained for the formation energy is -0.045 eV per atom. The density of states at the Fermi level is 0.303 states/eV/atom.